Record 1
This record from Alexandria via LeMat-Bulk describes Pm3BP after structural relaxation. The functional is GGA-PBE.

Unit cell a=5.0371 b=5.0371 c=5.0371 alpha=90.00 beta=90.00 gamma=90.00
Space group Pm-3m (No. 221)
One atom of each set of equivalent atoms:
Pm1 0.0000 0.0000 0.5000 [3 per cell]
B1 0.0000 0.0000 0.0000 [1 per cell]
P1 0.5000 0.5000 0.5000 [1 per cell]

Calculated values
- DFT total energy: -27.44 eV per cell



Record 2
This record from Alexandria via LeMat-Bulk describes Pm2BPPt6 after structural relaxation. The functional is GGA-PBE.

Unit cell a=5.7803 b=8.4461 c=7.3631 alpha=90.00 beta=90.00 gamma=90.00
Space group Pmmn (No. 59, origin choice 2)
One atom of each set of equivalent atoms:
Pm1 0.2500 0.0288 0.2255 [4 per cell]
B1 0.2500 0.2500 0.7096 [2 per cell]
P1 0.2500 0.7500 0.8175 [2 per cell]
Pt1 0.0065 0.7500 0.4932 [4 per cell]
Pt2 0.0093 0.2500 0.9357 [4 per cell]
Pt3 0.2500 0.5046 0.6622 [4 per cell]

Calculated values
- DFT total energy: -133.52 eV per cell



Record 3
This record from Alexandria via LeMat-Bulk describes PmBPRh3 after structural relaxation. The functional is GGA-PBE.

Unit cell a=5.7734 b=11.6816 c=5.7051 alpha=90.00 beta=90.00 gamma=90.00
Space group Cmcm (No. 63)
One atom of each set of equivalent atoms:
Pm1 0.0000 0.2390 0.2500 [4 per cell]
B1 0.0000 0.4895 0.7500 [4 per cell]
P1 0.0000 0.1184 0.7500 [4 per cell]
Rh1 0.0000 0.3106 0.7500 [4 per cell]
Rh2 0.2418 0.0000 0.0000 [8 per cell]

Calculated values
- DFT total energy: -173.89 eV per cell



Record 4
This record from Alexandria via LeMat-Bulk describes Pm2BP2Ru2 after structural relaxation. The functional is GGA-PBE.

Unit cell a=11.1157 b=4.0641 c=6.8631 alpha=90.00 beta=126.18 gamma=90.00
Space group C2/m (No. 12)
One atom of each set of equivalent atoms:
Pm1 0.0650 0.0000 0.3137 [4 per cell]
B1 0.0000 0.5000 0.0000 [2 per cell]
P1 0.1820 0.5000 0.7229 [4 per cell]
Ru1 0.2033 0.5000 0.0895 [4 per cell]

Calculated values
- DFT total energy: -104.61 eV per cell



Record 5
This record from Alexandria via LeMat-Bulk describes PrBP after structural relaxation. The functional is GGA-PBE.

Unit cell a=3.7744 b=22.1502 c=3.2431 alpha=90.00 beta=90.00 gamma=90.00
Space group Cmcm (No. 63)
One atom of each set of equivalent atoms:
Pr1 0.0000 0.0866 0.2500 [4 per cell]
B1 0.0000 0.3543 0.2500 [4 per cell]
P1 0.0000 0.3097 0.7500 [4 per cell]

Calculated values
- DFT total energy: -67.68 eV per cell



Record 6
This record from Alexandria via LeMat-Bulk describes PrBP after structural relaxation. The functional is GGA-PBE.

Unit cell a=10.4512 b=3.4042 c=7.3143 alpha=90.00 beta=116.38 gamma=90.00
Space group C2/m (No. 12)
One atom of each set of equivalent atoms:
Pr1 0.2060 0.0000 0.2329 [4 per cell]
B1 0.0037 0.5000 0.3867 [4 per cell]
P1 0.0673 0.0000 0.7770 [4 per cell]

Calculated values
- DFT total energy: -73.19 eV per cell



Record 7
This record from Alexandria via LeMat-Bulk describes PrBPPt6 after structural relaxation. The functional is GGA-PBE.

Unit cell a=7.5001 b=7.9686 c=11.0920 alpha=90.00 beta=90.00 gamma=90.00
Space group Imma (No. 74)
One atom of each set of equivalent atoms:
Pr1 0.0000 0.2500 0.1600 [4 per cell]
B1 0.0000 0.0000 0.5000 [4 per cell]
P1 0.2500 0.2500 0.7500 [4 per cell]
Pt1 0.0000 0.2500 0.4308 [4 per cell]
Pt2 0.0000 0.2500 0.8700 [4 per cell]
Pt3 0.2134 0.0257 0.6234 [16 per cell]

Calculated values
- DFT total energy: -231.91 eV per cell



Record 8
This record from Alexandria via LeMat-Bulk describes PrBPRh3 after structural relaxation. The functional is GGA-PBE.

Unit cell a=5.7716 b=11.7634 c=5.7552 alpha=90.00 beta=90.00 gamma=90.00
Space group Cmcm (No. 63)
One atom of each set of equivalent atoms:
Pr1 0.0000 0.2410 0.2500 [4 per cell]
B1 0.0000 0.4859 0.7500 [4 per cell]
P1 0.0000 0.1163 0.7500 [4 per cell]
Rh1 0.0000 0.3088 0.7500 [4 per cell]
Rh2 0.2436 0.0000 0.0000 [8 per cell]

Calculated values
- DFT total energy: -173.84 eV per cell



Record 9
This record from Alexandria via LeMat-Bulk describes Pr3B2PRh9 after structural relaxation. The functional is GGA-PBE.

Unit cell a=6.1421 b=6.1421 c=7.5173 alpha=90.00 beta=90.00 gamma=120.00
Space group P-3m1 (No. 164)
One atom of each set of equivalent atoms:
Pr1 0.0000 0.0000 0.0000 [1 per cell]
Pr2 0.3333 0.6667 0.6697 [2 per cell]
B1 0.3333 0.6667 0.1514 [2 per cell]
P1 0.0000 0.0000 0.5000 [1 per cell]
Rh1 0.0000 0.5000 0.0000 [3 per cell]
Rh2 0.1741 0.3483 0.3254 [6 per cell]

Calculated values
- DFT total energy: -110.23 eV per cell



Record 10
This record from Alexandria via LeMat-Bulk describes BPPt6 after structural relaxation. The functional is GGA-PBE.

Unit cell a=7.7690 b=6.9086 c=5.0515 alpha=90.00 beta=108.72 gamma=90.00
Space group C2/m (No. 12)
One atom of each set of equivalent atoms:
B1 0.0000 0.0000 0.0000 [2 per cell]
P1 0.0000 0.5000 0.5000 [2 per cell]
Pt1 0.0959 0.2427 0.2882 [8 per cell]
Pt2 0.2231 0.5000 0.9640 [4 per cell]

Calculated values
- DFT total energy: -98.19 eV per cell



Record 11
This record from Alexandria via LeMat-Bulk describes BPPt3 after structural relaxation. The functional is GGA-PBE.

Unit cell a=4.2168 b=4.2168 c=4.2168 alpha=90.00 beta=90.00 gamma=90.00
Space group Pm-3m (No. 221)
One atom of each set of equivalent atoms:
B1 0.0000 0.0000 0.0000 [1 per cell]
P1 0.5000 0.5000 0.5000 [1 per cell]
Pt1 0.0000 0.0000 0.5000 [3 per cell]

Calculated values
- DFT total energy: -29.16 eV per cell



Record 12
This record from Alexandria via LeMat-Bulk describes BPPt5 after structural relaxation. The functional is GGA-PBE.

Unit cell a=9.8073 b=5.1349 c=9.2194 alpha=90.00 beta=114.88 gamma=90.00
Space group Cc (No. 9)
One atom of each set of equivalent atoms:
B1 0.0000 0.2309 0.0000 [4 per cell]
P1 0.2794 0.2831 0.7756 [4 per cell]
Pt1 0.0915 0.4143 0.8557 [4 per cell]
Pt2 0.1580 0.0781 0.5300 [4 per cell]
Pt3 0.2915 0.2619 0.2990 [4 per cell]
Pt4 0.4200 0.1200 0.0290 [4 per cell]
Pt5 0.4715 0.4043 0.6965 [4 per cell]

Calculated values
- DFT total energy: -175.50 eV per cell



Record 13
This record from Alexandria via LeMat-Bulk describes B2PPt8 after structural relaxation. The functional is GGA-PBE.

Unit cell a=16.1762 b=3.5262 c=5.6569 alpha=90.00 beta=97.51 gamma=90.00
Space group C2/m (No. 12)
One atom of each set of equivalent atoms:
B1 0.1573 0.0000 0.0670 [4 per cell]
P1 0.0000 0.5000 0.5000 [2 per cell]
Pt1 0.0630 0.0000 0.7352 [4 per cell]
Pt2 0.0746 0.5000 0.1699 [4 per cell]
Pt3 0.1857 0.0000 0.4372 [4 per cell]
Pt4 0.1963 0.5000 0.8716 [4 per cell]

Calculated values
- DFT total energy: -139.44 eV per cell



Record 14
This record from Alexandria via LeMat-Bulk describes B2PPt after structural relaxation. The functional is GGA-PBE.

Unit cell a=4.8059 b=4.8059 c=8.8931 alpha=90.00 beta=90.00 gamma=90.00
Space group I-42d (No. 122)
One atom of each set of equivalent atoms:
B1 0.2235 0.2500 0.1250 [8 per cell]
P1 0.0000 0.0000 0.0000 [4 per cell]
Pt1 0.0000 0.0000 0.5000 [4 per cell]

Calculated values
- DFT total energy: -99.51 eV per cell



Record 15
This record from Alexandria via LeMat-Bulk describes BP2Pt6 after structural relaxation. The functional is GGA-PBE.

Unit cell a=5.4729 b=5.5045 c=10.6264 alpha=90.00 beta=120.73 gamma=90.00
Space group P2_1/c (No. 14)
One atom of each set of equivalent atoms:
B1 0.0000 0.0000 0.0000 [2 per cell]
P1 0.2122 0.0514 0.7942 [4 per cell]
Pt1 0.2075 0.1731 0.5855 [4 per cell]
Pt2 0.2133 0.6478 0.7189 [4 per cell]
Pt3 0.3958 0.7369 0.5152 [4 per cell]

Calculated values
- DFT total energy: -112.10 eV per cell



Record 16
This record from Alexandria via LeMat-Bulk describes B2PPt8 after structural relaxation. The functional is GGA-PBE.

Unit cell a=5.5604 b=5.6838 c=5.9503 alpha=93.51 beta=117.33 gamma=91.13
Space group P-1 (No. 2)
One atom of each set of equivalent atoms:
B1 0.0410 0.2519 0.1549 [2 per cell]
P1 0.5000 0.5000 0.5000 [1 per cell]
Pt1 0.2152 0.6917 0.6192 [2 per cell]
Pt2 0.2703 0.4980 0.0535 [2 per cell]
Pt3 0.2727 0.0074 0.0417 [2 per cell]
Pt4 0.2879 0.1466 0.5290 [2 per cell]

Calculated values
- DFT total energy: -68.60 eV per cell



Record 17
This record from Alexandria via LeMat-Bulk describes B2PPtSe after structural relaxation. The functional is GGA-PBE.

Unit cell a=3.8743 b=3.8743 c=4.8616 alpha=90.00 beta=90.00 gamma=90.00
Space group P4/mmm (No. 123)
One atom of each set of equivalent atoms:
B1 0.0000 0.5000 0.0000 [2 per cell]
P1 0.0000 0.0000 0.0000 [1 per cell]
Pt1 0.0000 0.0000 0.5000 [1 per cell]
Se1 0.5000 0.5000 0.5000 [1 per cell]

Calculated values
- Formation energy without anion corrections: 0.970 eV per atom



Record 18
This record from Alexandria via LeMat-Bulk describes Sm2BPPt6 after structural relaxation. The functional is GGA-PBE.

Unit cell a=5.7612 b=8.4433 c=7.3489 alpha=90.00 beta=90.00 gamma=90.00
Space group Pmmn (No. 59, origin choice 2)
One atom of each set of equivalent atoms:
Sm1 0.2500 0.0290 0.2257 [4 per cell]
B1 0.2500 0.2500 0.7104 [2 per cell]
P1 0.2500 0.7500 0.8159 [2 per cell]
Pt1 0.0062 0.7500 0.4937 [4 per cell]
Pt2 0.0083 0.2500 0.9359 [4 per cell]
Pt3 0.2500 0.5043 0.6621 [4 per cell]

Calculated values
- DFT total energy: -133.46 eV per cell



Record 19
This record from Alexandria via LeMat-Bulk describes SrBPPt6 after structural relaxation. The functional is GGA-PBE.

Unit cell a=7.6393 b=7.9495 c=11.1471 alpha=90.00 beta=90.00 gamma=90.00
Space group Imma (No. 74)
One atom of each set of equivalent atoms:
Sr1 0.0000 0.2500 0.1551 [4 per cell]
B1 0.0000 0.0000 0.5000 [4 per cell]
P1 0.2500 0.2500 0.7500 [4 per cell]
Pt1 0.0000 0.2500 0.4309 [4 per cell]
Pt2 0.0000 0.2500 0.8637 [4 per cell]
Pt3 0.2108 0.0298 0.6220 [16 per cell]

Calculated values
- DFT total energy: -216.94 eV per cell



Record 20
This record from Alexandria via LeMat-Bulk describes Sr2BPPt6 after structural relaxation. The functional is GGA-PBE.

Unit cell a=10.3321 b=5.9690 c=6.8607 alpha=90.00 beta=120.06 gamma=90.00
Space group C2/m (No. 12)
One atom of each set of equivalent atoms:
Sr1 0.2177 0.0000 0.1532 [4 per cell]
B1 0.0000 0.0000 0.5000 [2 per cell]
P1 0.0000 0.5000 0.0000 [2 per cell]
Pt1 0.0274 0.2683 0.3147 [8 per cell]
Pt2 0.2404 0.0000 0.6854 [4 per cell]

Calculated values
- DFT total energy: -117.87 eV per cell



The evaluated volume for the records listed, in turn: 127.81; 359.48; 384.77; 250.26; 271.14; 233.13; 662.91; 390.74; 245.60; 256.79; 74.98; 421.19; 319.91; 205.40; 275.16; 166.51; 72.97; 357.47; 676.95; 366.22 Å³ per cell.